--- a ---
Computed, not measured: MoIr4Ru after structural relaxation at the PBE-GGA level of DFT.

The space group is C2/m (No. 12) and the conventional cell measures 7.798, 4.127 and 7.265 Å, with angles of 90.00, 118.30 and 90.00 degrees. The inequivalent atoms are Mo at (0.000, 0.000, 0.000), Ir at (0.234, 0.500, 0.613), Ir at (0.236, 0.500, 0.120) and Ru at (0.000, 0.000, 0.500).

--- b ---
Computed, not measured: MoIr4Ru after structural relaxation at the PBE-GGA level of DFT.

The space group is F-43m (No. 216) and the conventional cell measures 7.210, 7.210 and 7.210 Å, with angles of 90.00, 90.00 and 90.00 degrees. The inequivalent atoms are Mo at (0.000, 0.000, 0.000), Ir at (0.125, 0.125, 0.375) and Ru at (0.250, 0.250, 0.750).

The structure shown above that is least stable: a.